[1]
# TaGaBr2 | the Alexandria database | GGA-PBE | optimized geometry
data_TaGaBr2
_chemical_formula_sum 'Ta2 Ga2 Br4'
_cell_length_a 7.069
_cell_length_b 7.069
_cell_length_c 7.069
_cell_angle_alpha 98.37
_cell_angle_beta 98.37
_cell_angle_gamma 135.13
_symmetry_space_group_name_H-M 'P 1'
_symmetry_Int_Tables_number 1
_symmetry_space_group_name_Hall 'P 1'
loop_
_atom_site_label
_atom_site_type_symbol
_atom_site_fract_x
_atom_site_fract_y
_atom_site_fract_z
Ta1 Ta 0.000 0.000 0.000
Ta2 Ta 0.750 0.250 0.500
Ga1 Ga 0.250 0.750 0.500
Ga2 Ga 0.500 0.500 0.000
Br1 Br 0.375 0.234 0.359
Br2 Br 0.766 0.125 0.141
Br3 Br 0.875 0.016 0.641
Br4 Br 0.984 0.625 0.859
# **D(E_F)**: 3.23 states/eV/f.u.
# **Energy above the most stable polymorph in this dataset**: 0.2410 eV/atom


[2]
# TaGa2Br | the Alexandria database | GGA-PBE | optimized geometry
data_TaGa2Br
_chemical_formula_sum 'Ta2 Ga4 Br2'
_cell_length_a 6.600
_cell_length_b 6.600
_cell_length_c 6.600
_cell_angle_alpha 98.48
_cell_angle_beta 98.48
_cell_angle_gamma 134.83
_symmetry_space_group_name_H-M 'P 1'
_symmetry_Int_Tables_number 1
_symmetry_space_group_name_Hall 'P 1'
loop_
_atom_site_label
_atom_site_type_symbol
_atom_site_fract_x
_atom_site_fract_y
_atom_site_fract_z
Ta1 Ta 0.000 0.000 0.000
Ta2 Ta 0.750 0.250 0.500
Ga1 Ga 0.049 0.625 0.924
Ga2 Ga 0.375 0.299 0.424
Ga3 Ga 0.701 0.125 0.076
Ga4 Ga 0.875 0.951 0.576
Br1 Br 0.250 0.750 0.500
Br2 Br 0.500 0.500 0.000
# **D(E_F)**: 4.19 states/eV/f.u.
# **Energy above the most stable polymorph in this dataset**: 0.0000 eV/atom


[3]
# Ta2GaTcBr | the Alexandria database | GGA-PBE | optimized geometry
data_Ta2GaTcBr
_chemical_formula_sum 'Ta2 Ga1 Tc1 Br1'
_cell_length_a 4.870
_cell_length_b 4.870
_cell_length_c 4.888
_cell_angle_alpha 90.00
_cell_angle_beta 90.00
_cell_angle_gamma 90.00
_symmetry_space_group_name_H-M 'P 1'
_symmetry_Int_Tables_number 1
_symmetry_space_group_name_Hall 'P 1'
loop_
_atom_site_label
_atom_site_type_symbol
_atom_site_fract_x
_atom_site_fract_y
_atom_site_fract_z
Ta1 Ta 0.000 0.500 0.000
Ta2 Ta 0.500 0.000 0.000
Ga1 Ga 0.000 0.000 0.500
Tc1 Tc 0.000 0.000 0.000
Br1 Br 0.500 0.500 0.500
# **D(E_F)**: 4.05 states/eV/f.u.
# **Uncorrected energy**: -34.058 eV/cell


Calculated volume (computed, Å³ per atom): 28.79, 23.53, 23.18